A plane-wave DFT calculation with PBE-GGA was carried out for a relaxed YPu2UP4 crystal.

a b c (Å): 6.8799 3.9795 6.8894
angles (deg): 90.00 109.64 90.00
Positions (direct):
Y: 0.0000 0.0000 0.0000
Pu: 0.0000 0.5000 0.5000
Pu: 0.5000 0.0000 0.5000
U: 0.5000 0.5000 0.0000
P: 0.2544 0.0000 0.7545
P: 0.2570 0.5000 0.2494
P: 0.7430 0.5000 0.7506
P: 0.7456 0.0000 0.2455

Results
N(E_F): 25.3 states/eV/f.u.
spin magnetization: 1.910 μB/f.u.
ΔH_f (0 K): -933.4 kJ/mol of formula units

***

A plane-wave DFT calculation with PBE-GGA was carried out for a relaxed ThSnTeAu crystal.

a b c (Å): 4.6811 4.6811 9.4361
angles (deg): 90.00 90.00 90.00
Positions (direct):
Th: 0.2500 0.2500 0.2479
Th: 0.7500 0.7500 0.7521
Sn: 0.2500 0.2500 0.8186
Sn: 0.7500 0.7500 0.1814
Te: 0.2500 0.7500 0.5000
Te: 0.7500 0.2500 0.5000
Au: 0.2500 0.7500 0.0000
Au: 0.7500 0.2500 0.0000

Results
N(E_F): 1.8 states/eV/f.u.
formation energy from raw total energies: -66 kJ/mol of atoms
spin magnetization: 0.000 μB/f.u.